Record 1
# SrFeI | Alexandria via LeMat-Bulk | GGA-PBE | relaxed
# DOS at the Fermi energy = 5.74 states/eV/cell
# formation energy without anion corrections = -14 kJ per mole of atoms
# crystal system = monoclinic
# space group = Cm, No. 8
data_SrFeI
_cell_length_a 5.1097
_cell_length_b 4.5290
_cell_length_c 18.8838
_cell_angle_alpha 90.00
_cell_angle_beta 105.46
_cell_angle_gamma 90.00
_symmetry_space_group_name_H-M 'P 1'
_symmetry_Int_Tables_number 1
loop_
_symmetry_equiv_pos_as_xyz
'x,y,z'
loop_
_atom_site_label
_atom_site_type_symbol
_atom_site_fract_x
_atom_site_fract_y
_atom_site_fract_z
Fe1 Fe 0.8975 0.5000 0.0357
Fe2 Fe 0.8975 0.0000 0.5357
Fe3 Fe 0.4548 0.5000 0.0357
Fe4 Fe 0.4548 0.0000 0.5357
Sr1 Sr 0.5649 0.5000 0.4224
Sr2 Sr 0.7890 0.0000 0.1500
Sr3 Sr 0.7890 0.5000 0.6500
Sr4 Sr 0.5649 0.0000 0.9224
I1 I 0.1790 0.5000 0.5383
I2 I 0.9377 0.0000 0.7932
I3 I 0.9377 0.5000 0.2932
I4 I 0.1790 0.0000 0.0383


Record 2
# Tb6Ho3Mg | Alexandria via LeMat-Bulk | GGA-PBE | relaxed
# E above lowest polymorph = 0.000 eV/atom
# formation enthalpy at 0 K = 18 meV per atom
# DOS at the Fermi energy = 27.80 states/eV/cell
# crystal system = monoclinic
# space group = P2_1/m, No. 11
data_Tb6Ho3Mg
_cell_length_a 4.9974
_cell_length_b 11.0956
_cell_length_c 11.1575
_cell_angle_alpha 90.35
_cell_angle_beta 90.00
_cell_angle_gamma 90.00
_symmetry_space_group_name_H-M 'P 1'
_symmetry_Int_Tables_number 1
loop_
_symmetry_equiv_pos_as_xyz
'x,y,z'
loop_
_atom_site_label
_atom_site_type_symbol
_atom_site_fract_x
_atom_site_fract_y
_atom_site_fract_z
Ho1 Ho 0.2500 0.3490 0.7965
Ho2 Ho 0.7500 0.4494 0.5998
Ho3 Ho 0.7500 0.6510 0.2035
Ho4 Ho 0.7500 0.2485 0.9969
Ho5 Ho 0.2500 0.7515 0.0031
Ho6 Ho 0.2500 0.5506 0.4002
Mg1 Mg 0.2500 0.9524 0.5974
Mg2 Mg 0.7500 0.0476 0.4026
Tb1 Tb 0.7500 0.5514 0.8978
Tb2 Tb 0.7500 0.9514 0.1008
Tb3 Tb 0.2500 0.4486 0.1022
Tb4 Tb 0.7500 0.3475 0.2996
Tb5 Tb 0.2500 0.2472 0.4987
Tb6 Tb 0.2500 0.6525 0.7004
Tb7 Tb 0.7500 0.8498 0.8026
Tb8 Tb 0.2500 0.8510 0.3050
Tb9 Tb 0.2500 0.0486 0.8992
Tb10 Tb 0.2500 0.1502 0.1974
Tb11 Tb 0.7500 0.7528 0.5013
Tb12 Tb 0.7500 0.1490 0.6950


Record 3
# InTcP4 | Alexandria via LeMat-Bulk | GGA-PBE | relaxed
# formation enthalpy at 0 K = 795 meV per atom
# DOS at the Fermi energy = 3.23 states/eV/cell
# crystal system = cubic
# space group = F-43m, No. 216
data_InTcP4
_cell_length_a 5.1367
_cell_length_b 5.1367
_cell_length_c 5.1367
_cell_angle_alpha 60.00
_cell_angle_beta 60.00
_cell_angle_gamma 60.00
_symmetry_space_group_name_H-M 'P 1'
_symmetry_Int_Tables_number 1
loop_
_symmetry_equiv_pos_as_xyz
'x,y,z'
loop_
_atom_site_label
_atom_site_type_symbol
_atom_site_fract_x
_atom_site_fract_y
_atom_site_fract_z
P1 P 0.8689 0.3770 0.3770
P2 P 0.3770 0.8689 0.3770
P3 P 0.3770 0.3770 0.8689
P4 P 0.3770 0.3770 0.3770
In1 In 0.0000 0.0000 0.0000
Tc1 Tc 0.7500 0.7500 0.7500


Record 4
# ZnCo2Tc | Alexandria via LeMat-Bulk | GGA-PBE | relaxed
# formation enthalpy at 0 K = 620 meV per atom
# DOS at the Fermi energy = 10.95 states/eV/cell
# crystal system = tetragonal
# space group = I-42d, No. 122
data_ZnCo2Tc
_cell_length_a 6.5205
_cell_length_b 6.5205
_cell_length_c 5.2801
_cell_angle_alpha 51.87
_cell_angle_beta 51.87
_cell_angle_gamma 90.00
_symmetry_space_group_name_H-M 'P 1'
_symmetry_Int_Tables_number 1
loop_
_symmetry_equiv_pos_as_xyz
'x,y,z'
loop_
_atom_site_label
_atom_site_type_symbol
_atom_site_fract_x
_atom_site_fract_y
_atom_site_fract_z
Co1 Co 0.8750 0.8926 0.7500
Co2 Co 0.1074 0.6250 0.2500
Co3 Co 0.3750 0.3574 0.7500
Co4 Co 0.6426 0.1250 0.2500
Zn1 Zn 0.5000 0.5000 0.0000
Zn2 Zn 0.2500 0.7500 0.5000
Tc1 Tc 0.7500 0.2500 0.5000
Tc2 Tc 0.0000 0.0000 0.0000


Record 5
# B3NCl | Alexandria via LeMat-Bulk | GGA-PBE | relaxed
# E above lowest polymorph = 0.000 eV/atom
# DOS at the Fermi energy = 2.71 states/eV/cell
# formation energy without anion corrections = 222 kJ per mole of atoms
# crystal system = cubic
# space group = Pm-3m, No. 221
data_B3NCl
_cell_length_a 3.7179
_cell_length_b 3.7179
_cell_length_c 3.7179
_cell_angle_alpha 90.00
_cell_angle_beta 90.00
_cell_angle_gamma 90.00
_symmetry_space_group_name_H-M 'P 1'
_symmetry_Int_Tables_number 1
loop_
_symmetry_equiv_pos_as_xyz
'x,y,z'
loop_
_atom_site_label
_atom_site_type_symbol
_atom_site_fract_x
_atom_site_fract_y
_atom_site_fract_z
N1 N 0.0000 0.0000 0.0000
B1 B 0.5000 0.0000 0.0000
B2 B 0.0000 0.0000 0.5000
B3 B 0.0000 0.5000 0.0000
Cl1 Cl 0.5000 0.5000 0.5000


Record 6
# KLa2Ni | Alexandria via LeMat-Bulk | GGA-PBE | relaxed
# E above lowest polymorph = 0.239 eV/atom
# formation enthalpy at 0 K = 180 meV per atom
# DOS at the Fermi energy = 4.14 states/eV/cell
# crystal system = orthorhombic
# space group = Immm, No. 71
data_KLa2Ni
_cell_length_a 6.8090
_cell_length_b 6.8090
_cell_length_c 6.8090
_cell_angle_alpha 147.37
_cell_angle_beta 122.53
_cell_angle_gamma 67.67
_symmetry_space_group_name_H-M 'P 1'
_symmetry_Int_Tables_number 1
loop_
_symmetry_equiv_pos_as_xyz
'x,y,z'
loop_
_atom_site_label
_atom_site_type_symbol
_atom_site_fract_x
_atom_site_fract_y
_atom_site_fract_z
La1 La 0.5785 0.5785 0.0000
La2 La 0.9215 0.9215 0.0000
K1 K 0.2500 0.7500 0.5000
Ni1 Ni 0.7500 0.2500 0.5000